Entry 1:
The following is a DFT calculation (PBE-GGA) of an optimized crystal structure of KIn2Cl. Values from VASP.

Quantum ESPRESSO input file:
```
&SYSTEM
  ibrav = 0, nat = 4, ntyp = 3
/
ATOMIC_SPECIES
In 114.82 In.upf
Cl 35.45 Cl.upf
K 39.10 K.upf
CELL_PARAMETERS angstrom
-6.516 2.267 4.919
-6.876 -1.893 4.576
1.456 -0.461 4.061
ATOMIC_POSITIONS crystal
In 0.519 0.519 0.481
In 0.981 0.981 0.019
Cl 0.250 0.250 0.250
K 0.750 0.750 0.750
```

Crystal system: orthorhombic
Distance to the lowest polymorph of the same formula, meV/atom: 29
Symmetry: Immm (71)
D(E_F), states/eV/atom: 0.42
E, eV per cell: -11.09
Uncorrected formation energy, eV per atom: -0.668
V, A^3/atom: 35.975

Entry 2:
The following is a DFT calculation (PBE-GGA) of an optimized crystal structure of KIn2Cl. Values from VASP.

Quantum ESPRESSO input file:
```
&SYSTEM
  ibrav = 0, nat = 4, ntyp = 3
/
ATOMIC_SPECIES
Cl 35.45 Cl.upf
In 114.82 In.upf
K 39.10 K.upf
CELL_PARAMETERS angstrom
3.547 0.000 0.000
0.000 6.352 0.000
0.000 0.000 5.945
ATOMIC_POSITIONS crystal
Cl 0.500 0.500 0.750
In 0.000 0.000 0.994
In 0.000 0.000 0.506
K 0.500 0.500 0.250
```

Crystal system: orthorhombic
Distance to the lowest polymorph of the same formula, meV/atom: 298
Symmetry: Pmmm (47)
D(E_F), states/eV/atom: 0.58
E, eV per cell: -10.02
Uncorrected formation energy, eV per atom: -0.399
V, A^3/atom: 33.484

Entry 3:
The following is a DFT calculation (PBE-GGA) of an optimized crystal structure of KInCl2. Values from VASP.

Quantum ESPRESSO input file:
```
&SYSTEM
  ibrav = 0, nat = 4, ntyp = 3
/
ATOMIC_SPECIES
K 39.10 K.upf
Cl 35.45 Cl.upf
In 114.82 In.upf
CELL_PARAMETERS angstrom
0.000 3.852 3.852
3.852 0.000 3.852
3.852 3.852 0.000
ATOMIC_POSITIONS crystal
K 0.000 0.000 0.000
Cl 0.250 0.250 0.250
Cl 0.750 0.750 0.750
In 0.500 0.500 0.500
```

Crystal system: cubic
Distance to the lowest polymorph of the same formula, meV/atom: 71
Symmetry: Fm-3m (225)
D(E_F), states/eV/atom: 0.00
E, eV per cell: -12.78
Uncorrected formation energy, eV per atom: -1.312
V, A^3/atom: 28.567

Entry 4:
The following is a DFT calculation (PBE-GGA) of an optimized crystal structure of KInCl2. Values from VASP.

Quantum ESPRESSO input file:
```
&SYSTEM
  ibrav = 0, nat = 4, ntyp = 3
/
ATOMIC_SPECIES
Cl 35.45 Cl.upf
K 39.10 K.upf
In 114.82 In.upf
CELL_PARAMETERS angstrom
2.681 0.000 8.988
-1.340 2.322 8.988
-1.340 -2.322 8.988
ATOMIC_POSITIONS crystal
Cl 0.103 0.103 0.103
Cl 0.897 0.897 0.897
K 0.500 0.500 0.500
In 0.000 0.000 0.000
```

Crystal system: trigonal
Distance to the lowest polymorph of the same formula, meV/atom: 173
Symmetry: R-3m (166)
D(E_F), states/eV/atom: 0.00
E, eV per cell: -12.37
Uncorrected formation energy, eV per atom: -1.211
V, A^3/atom: 41.963

Entry 5:
The following is a DFT calculation (PBE-GGA) of an optimized crystal structure of KIn2Cl6. Values from VASP.

Quantum ESPRESSO input file:
```
&SYSTEM
  ibrav = 0, nat = 18, ntyp = 3
/
ATOMIC_SPECIES
In 114.82 In.upf
Cl 35.45 Cl.upf
K 39.10 K.upf
CELL_PARAMETERS angstrom
8.355 0.204 0.198
2.659 9.428 0.437
2.659 0.742 9.409
ATOMIC_POSITIONS crystal
In 0.714 0.382 0.189
In 0.786 0.811 0.618
In 0.214 0.189 0.382
In 0.286 0.618 0.811
Cl 0.661 0.980 0.798
Cl 0.322 0.385 0.953
Cl 0.427 0.342 0.353
Cl 0.161 0.798 0.980
Cl 0.573 0.658 0.647
Cl 0.073 0.647 0.658
Cl 0.678 0.615 0.047
Cl 0.178 0.047 0.615
Cl 0.822 0.953 0.385
Cl 0.927 0.353 0.342
Cl 0.339 0.020 0.202
Cl 0.839 0.202 0.020
K 0.750 0.893 0.107
K 0.250 0.107 0.893
```

Crystal system: monoclinic
Symmetry: C2/c (15)
D(E_F), states/eV/atom: 0.33
E, eV per cell: -56.43
Uncorrected formation energy, eV per atom: -1.174
V, A^3/atom: 40.504

Entry 6:
The following is a DFT calculation (PBE-GGA) of an optimized crystal structure of KIn2Cl. Values from VASP.

Quantum ESPRESSO input file:
```
&SYSTEM
  ibrav = 0, nat = 4, ntyp = 3
/
ATOMIC_SPECIES
In 114.82 In.upf
Cl 35.45 Cl.upf
K 39.10 K.upf
CELL_PARAMETERS angstrom
3.918 0.000 0.000
0.000 4.346 0.000
0.000 0.000 8.604
ATOMIC_POSITIONS crystal
In 0.500 0.500 0.213
In 0.000 0.000 0.086
Cl 0.500 0.500 0.556
K 0.000 0.000 0.644
```

Crystal system: orthorhombic
Distance to the lowest polymorph of the same formula, meV/atom: 14
Symmetry: Pmm2 (25)
D(E_F), states/eV/atom: 0.33
E, eV per cell: -11.15
Uncorrected formation energy, eV per atom: -0.683
V, A^3/atom: 36.623

Repeat the first record exactly.
The following is a DFT calculation (PBE-GGA) of an optimized crystal structure of KIn2Cl. Values from VASP.

Quantum ESPRESSO input file:
```
&SYSTEM
  ibrav = 0, nat = 4, ntyp = 3
/
ATOMIC_SPECIES
In 114.82 In.upf
Cl 35.45 Cl.upf
K 39.10 K.upf
CELL_PARAMETERS angstrom
-6.516 2.267 4.919
-6.876 -1.893 4.576
1.456 -0.461 4.061
ATOMIC_POSITIONS crystal
In 0.519 0.519 0.481
In 0.981 0.981 0.019
Cl 0.250 0.250 0.250
K 0.750 0.750 0.750
```

Crystal system: orthorhombic
Distance to the lowest polymorph of the same formula, meV/atom: 29
Symmetry: Immm (71)
D(E_F), states/eV/atom: 0.42
E, eV per cell: -11.09
Uncorrected formation energy, eV per atom: -0.668
V, A^3/atom: 35.975

The highest D(E_F) belongs to which entry? number 2